First-principles (PBE-GGA) data for a relaxed MnNb2BrCl crystal, as listed in the Alexandria database.

Computed properties:
Mass density = 4.86 g/cm³
Total DFT energy (no corrections) = -0.4068 Ry/atom
ΔE_f (raw) = 1030.7 meV/atom

abc: 4.5262 4.5262 5.9450
angles: 90.00 90.00 90.00
With the nearest neighbours (Å) after each atom.
Space group P4/mmm (No. 123)
One atom of each set of equivalent atoms:
Mn 0.0000 0.0000 0.0000 [1 per cell]  4 Br 3.20
Nb 0.0000 0.5000 0.5000 [2 per cell]  2 Cl 2.26
Br 0.5000 0.5000 0.0000 [1 per cell]  2 Cl 2.97, 4 Mn 3.20
Cl 0.5000 0.5000 0.5000 [1 per cell]  4 Nb 2.26